# NaReO2F

Crystalline NaReO2F at its relaxed geometry (PBE-GGA, Alexandria via LeMat-Bulk).

Space-group type: P4/mmm, No. 123
Raw total energy (eV per cell): -19.31

Unit cell a=3.9752 b=5.7112 c=3.9752 alpha=90.00 beta=90.00 gamma=90.00
Atoms (fractional coordinates):
1 Re 0.0000 0.5000 0.0000
2 F 0.5000 0.5000 0.5000
3 O 0.0000 0.0000 0.5000
4 O 0.5000 0.0000 0.0000
5 Na 0.0000 0.0000 0.0000